Below is a relaxed CsMnCl3 crystal, with properties calculated at the PBE-GGA level.

formation energy from raw total energies = -1.50 eV/atom
uncorrected energy = -4.6100 eV per atom

Unit cell a=10.149 b=10.149 c=10.149 alpha=42.85 beta=42.85 gamma=42.85
Site moments in Bohr magnetons follow the coordinates.
Sites, in units of the cell vectors:
Mn (0.116, 0.116, 0.116)  4.44
Mn (0.884, 0.884, 0.884)  4.44
Mn (0.000, 0.000, 0.000)  4.43
Cl (0.212, 0.748, 0.212)  0.07
Cl (0.788, 0.788, 0.252)  0.07
Cl (0.252, 0.788, 0.788)  0.07
Cl (0.788, 0.252, 0.788)  0.07
Cl (0.500, 0.000, 0.000)  0.06
Cl (0.212, 0.212, 0.748)  0.07
Cl (0.000, 0.000, 0.500)  0.06
Cl (0.000, 0.500, 0.000)  0.06
Cl (0.748, 0.212, 0.212)  0.07
Cs (0.280, 0.280, 0.280)  0.00
Cs (0.720, 0.720, 0.720)  0.00
Cs (0.500, 0.500, 0.500)  0.00